[1]
# Th6Ni2C3Se PBE relaxed
# Crystal system: monoclinic
data_Th6Ni2C3Se
_space_group_name_H-M_alt 'C 1 2/m 1'
_space_group_IT_number 12
_cell_length_a 17.816
_cell_length_b 3.834
_cell_length_c 8.053
_cell_angle_alpha 90.00
_cell_angle_beta 110.26
_cell_angle_gamma 90.00
loop_
_space_group_symop_operation_xyz
'x,y,z'
'-x,-y,-z'
'-x,y,-z'
'x,-y,z'
'x+1/2,y+1/2,z'
'-x+1/2,-y+1/2,-z'
'-x+1/2,y+1/2,-z'
'x+1/2,-y+1/2,z'
loop_
_atom_site_label
_atom_site_type_symbol
_atom_site_fract_x
_atom_site_fract_y
_atom_site_fract_z
Th1 Th 0.005 0.000 0.226
Th2 Th 0.151 0.500 0.112
Th3 Th 0.182 0.500 0.588
Ni1 Ni 0.200 0.000 0.909
C1 C 0.000 0.500 0.000
C2 C 0.161 0.000 0.354
Se1 Se 0.000 0.500 0.500



[2]
# Th4NiC2Se PBE relaxed
# Crystal system: monoclinic
data_Th4NiC2Se
_space_group_name_H-M_alt 'P 1 2/m 1'
_space_group_IT_number 10
_cell_length_a 6.748
_cell_length_b 3.820
_cell_length_c 7.151
_cell_angle_alpha 90.00
_cell_angle_beta 107.88
_cell_angle_gamma 90.00
loop_
_space_group_symop_operation_xyz
'x,y,z'
'-x,-y,-z'
'-x,y,-z'
'x,-y,z'
loop_
_atom_site_label
_atom_site_type_symbol
_atom_site_fract_x
_atom_site_fract_y
_atom_site_fract_z
Th1 Th 0.229 0.000 0.210
Th2 Th 0.256 0.500 0.785
Ni1 Ni 0.000 0.000 0.500
C1 C 0.000 0.500 0.000
C2 C 0.500 0.000 0.000
Se1 Se 0.500 0.500 0.500



[3]
# Y2NiCSe PBE relaxed
# Crystal system: tetragonal
data_Y2NiCSe
_space_group_name_H-M_alt 'P 4/m m m'
_space_group_IT_number 123
_space_group_name_Hall '-P 4 2'
_cell_length_a 4.996
_cell_length_b 4.996
_cell_length_c 3.673
_cell_angle_alpha 90.00
_cell_angle_beta 90.00
_cell_angle_gamma 90.00
loop_
_atom_site_label
_atom_site_type_symbol
_atom_site_fract_x
_atom_site_fract_y
_atom_site_fract_z
Y1 Y 0.000 0.500 0.000
Ni1 Ni 0.000 0.000 0.500
C1 C 0.000 0.000 0.000
Se1 Se 0.500 0.500 0.500



Short version: total moment = 0.0; 0.0; 0.0 μB per formula unit, in the order given.
Short version: formation energy from raw total energies = -0.52; -0.64; -0.82 eV per atom, in the order given.